Below is ZnP2Pt after structural relaxation, with properties calculated at the GGA-PBEsol level.

Values from the calculation:
V ... 14.56 Å³ per atom
Final energy ... -4.9559 eV/atom

abc: 3.3735 4.2524 4.2524
angles: 107.35 90.00 90.00
Last column: nearest neighbours and their distance in Å.
Positions (direct):
P: 0.0000 0.5000 0.0000  2 P 2.52, 4 Zn 2.71, 4 Pt 2.71
P: 0.0000 0.0000 0.5000  2 P 2.52, 4 Pt 2.71, 4 Zn 2.71
Pt: 0.5000 0.0000 0.0000  2 Zn 2.52, 8 P 2.71
Zn: 0.5000 0.5000 0.5000  2 Pt 2.52, 8 P 2.71